Entry 1:
# CdCuCl2 PBE relaxed
data_CdCuCl2
_chemical_formula_sum 'Cd1 Cu1 Cl2'
_cell_length_a 5.352
_cell_length_b 3.478
_cell_length_c 5.654
_cell_angle_alpha 90.00
_cell_angle_beta 105.65
_cell_angle_gamma 90.00
_symmetry_space_group_name_H-M 'P 1 m 1'
_symmetry_Int_Tables_number 6
loop_
_symmetry_equiv_pos_as_xyz
'x,y,z'
'x,-y,z'
loop_
_atom_site_label
_atom_site_type_symbol
_atom_site_fract_x
_atom_site_fract_y
_atom_site_fract_z
Cd1 Cd 0.000 0.000 0.000
Cu1 Cu 0.755 0.500 0.237
Cl1 Cl 0.353 0.500 0.932
Cl2 Cl 0.738 0.000 0.508
# Excess energy over the best structure of this formula in the dataset in meV/atom: 0
# Crystal system: monoclinic
# Total magnetic moment in μB per formula unit: 0.000

---

Entry 2:
# CdCu2Cl6 PBE relaxed
data_CdCu2Cl6
_chemical_formula_sum 'Cd4 Cu8 Cl24'
_cell_length_a 13.356
_cell_length_b 10.532
_cell_length_c 6.914
_cell_angle_alpha 90.00
_cell_angle_beta 103.56
_cell_angle_gamma 90.00
_symmetry_space_group_name_H-M 'C 1 2/c 1'
_symmetry_Int_Tables_number 15
loop_
_symmetry_equiv_pos_as_xyz
'x,y,z'
'-x,-y,-z'
'-x,y,-z+1/2'
'x,-y,z+1/2'
'x+1/2,y+1/2,z'
'-x+1/2,-y+1/2,-z'
'-x+1/2,y+1/2,-z+1/2'
'x+1/2,-y+1/2,z+1/2'
loop_
_atom_site_label
_atom_site_type_symbol
_atom_site_fract_x
_atom_site_fract_y
_atom_site_fract_z
Cd1 Cd 0.000 0.123 0.250
Cu1 Cu 0.211 0.427 0.283
Cl1 Cl 0.102 0.289 0.096
Cl2 Cl 0.112 0.068 0.627
Cl3 Cl 0.178 0.401 0.583
# Raw total energy in eV/atom: -2.868
# Crystal system: monoclinic
# Total magnetic moment in μB per formula unit: 2.077

---

Entry 3:
# CdCuCl2 PBE relaxed
data_CdCuCl2
_chemical_formula_sum 'Cd4 Cu4 Cl8'
_cell_length_a 6.890
_cell_length_b 6.890
_cell_length_c 6.890
_cell_angle_alpha 90.00
_cell_angle_beta 90.00
_cell_angle_gamma 90.00
_symmetry_space_group_name_H-M 'F -4 3 m'
_symmetry_Int_Tables_number 216
_symmetry_space_group_name_Hall 'F -4 2 3'
loop_
_atom_site_label
_atom_site_type_symbol
_atom_site_fract_x
_atom_site_fract_y
_atom_site_fract_z
Cd1 Cd 0.000 0.000 0.000
Cu1 Cu 0.250 0.250 0.250
Cl1 Cl 0.000 0.000 0.500
Cl2 Cl 0.250 0.250 0.750
# Excess energy over the best structure of this formula in the dataset in meV/atom: 615
# Crystal system: cubic
# Total magnetic moment in μB per formula unit: 0.000

---

Entry 4:
# CdCuCl2 PBE relaxed
data_CdCuCl2
_chemical_formula_sum 'Cd2 Cu2 Cl4'
_cell_length_a 3.317
_cell_length_b 6.715
_cell_length_c 8.767
_cell_angle_alpha 90.00
_cell_angle_beta 90.00
_cell_angle_gamma 90.00
_symmetry_space_group_name_H-M 'C m m m'
_symmetry_Int_Tables_number 65
_symmetry_space_group_name_Hall '-C 2 2'
loop_
_atom_site_label
_atom_site_type_symbol
_atom_site_fract_x
_atom_site_fract_y
_atom_site_fract_z
Cd1 Cd 0.000 0.000 0.000
Cu1 Cu 0.000 0.000 0.500
Cl1 Cl 0.000 0.500 0.316
# Excess energy over the best structure of this formula in the dataset in meV/atom: 141
# Crystal system: orthorhombic
# Total magnetic moment in μB per formula unit: 0.374